Record 1
Entry from the Alexandria database: a geometry-optimized NdGdHoGa structure (PBE).

Results
symmetry: No. 216
total moment: 8.3 μB/cell
DFT formation energy: -0.11 eV/atom

a = 5.3881 Å, b = 5.3881 Å, c = 5.3881 Å
α = 60.00°, β = 60.00°, γ = 60.00°
With the nearest neighbours (Å) after each atom.
Atoms (fractional coordinates):
Gd: 0.0000 0.0000 0.0000  4 Ho 3.30, 4 Ga 3.30
Nd: 0.5000 0.5000 0.5000  4 Ho 3.30, 4 Ga 3.30
Ho: 0.7500 0.7500 0.7500  4 Nd 3.30, 4 Gd 3.30
Ga: 0.2500 0.2500 0.2500  4 Gd 3.30, 4 Nd 3.30

=====

Record 2
Entry from the Alexandria database: a geometry-optimized ZrAs2SeBr structure (PBE).

Results
total energy: -22.1 eV per cell
symmetry: No. 123
total moment: 0.0 μB/cell

a = 5.3107 Å, b = 5.3107 Å, c = 5.0840 Å
α = 90.00°, β = 90.00°, γ = 90.00°
With the nearest neighbours (Å) after each atom.
Atoms (fractional coordinates):
As: 0.0000 0.5000 0.0000  2 Zr 2.66
As: 0.5000 0.0000 0.0000  2 Zr 2.66
Se: 0.5000 0.5000 0.5000  8 As 3.68, 4 Br 3.76
Br: 0.0000 0.0000 0.5000  2 Zr 2.54
Zr: 0.0000 0.0000 0.0000  2 Br 2.54, 4 As 2.66

=====

Record 3
Entry from the Alexandria database: a geometry-optimized Tl6Hg5Cl structure (PBE).

Results
total energy: -19.1 eV per cell
symmetry: No. 12
total moment: 0.0 μB/cell

a = 5.4483 Å, b = 9.6287 Å, c = 9.6287 Å
α = 121.65°, β = 106.37°, γ = 106.37°
With the nearest neighbours (Å) after each atom.
Atoms (fractional coordinates):
Tl: 0.2528 0.0860 0.4181  7 Hg 3.32-3.47, 1 Cl 3.39
Tl: 0.7472 0.5819 0.9140  7 Hg 3.32-3.47, 1 Cl 3.39
Tl: 0.7505 0.2478 0.2478  2 Cl 3.30-3.34, 6 Hg 3.31-3.49
Tl: 0.2495 0.7522 0.7522  2 Cl 3.30-3.34, 6 Hg 3.31-3.49
Tl: 0.2528 0.4181 0.0860  7 Hg 3.32-3.47, 1 Cl 3.39
Tl: 0.7472 0.9140 0.5819  7 Hg 3.32-3.47, 1 Cl 3.39
Hg: 0.5000 0.1611 0.8389  8 Tl 3.31-3.47
Hg: 0.0000 0.3275 0.6725  8 Tl 3.32-3.49
Hg: 0.5000 0.5000 0.5000  8 Tl 3.33-3.38
Hg: 0.0000 0.6725 0.3275  8 Tl 3.32-3.49
Hg: 0.5000 0.8389 0.1611  8 Tl 3.31-3.47
Cl: 0.0000 0.0000 0.0000  8 Tl 3.30-3.39

=====

Record 4
Entry from the Alexandria database: a geometry-optimized HfScAl3 structure (PBE).

Results
symmetry: No. 221
total moment: 0.0 μB/cell
DFT formation energy: 0.69 eV/atom

a = 5.0617 Å, b = 5.0617 Å, c = 5.0617 Å
α = 90.00°, β = 90.00°, γ = 90.00°
With the nearest neighbours (Å) after each atom.
Atoms (fractional coordinates):
Sc: 0.5000 0.5000 0.5000  12 Al 3.58
Hf: 0.0000 0.0000 0.0000  6 Al 2.53
Al: 0.0000 0.5000 0.0000  2 Hf 2.53
Al: 0.0000 0.0000 0.5000  2 Hf 2.53
Al: 0.5000 0.0000 0.0000  2 Hf 2.53

=====

Record 5
Entry from the Alexandria database: a geometry-optimized Ca2YAl structure (PBE).

Results
symmetry: No. 47
total moment: 0.0 μB/cell
DFT formation energy: -0.08 eV/atom

a = 4.7619 Å, b = 4.7900 Å, c = 7.0662 Å
α = 47.35°, β = 90.00°, γ = 90.00°
With the nearest neighbours (Å) after each atom.
Atoms (fractional coordinates):
Y: 0.5000 0.5000 0.5000  4 Al 3.38, 8 Ca 3.52-3.53
Ca: 0.0000 0.0000 0.0000  4 Ca 3.38, 4 Y 3.52, 4 Al 3.53
Ca: 0.5000 0.5000 0.0000  4 Ca 3.38, 4 Al 3.52, 4 Y 3.53
Al: 0.0000 0.0000 0.5000  4 Y 3.38, 8 Ca 3.52-3.53

=====

Record 6
Entry from the Alexandria database: a geometry-optimized Cs3Tl2Pd2 structure (PBE).

Results
symmetry: No. 57
total moment: 0.0 μB/cell
DFT formation energy: -0.08 eV/atom

a = 7.4545 Å, b = 9.7981 Å, c = 14.8302 Å
α = 90.00°, β = 90.00°, γ = 90.00°
With the nearest neighbours (Å) after each atom.
Atoms (fractional coordinates):
Cs: 0.6891 0.2874 0.2500  4 Tl 3.58-3.82, 4 Pd 3.79-3.94
Cs: 0.3109 0.7126 0.7500  4 Tl 3.58-3.82, 4 Pd 3.79-3.94
Cs: 0.3109 0.7874 0.2500  4 Tl 3.58-3.82, 4 Pd 3.79-3.94
Cs: 0.6891 0.2126 0.7500  4 Tl 3.58-3.82, 4 Pd 3.79-3.94
Cs: 0.1370 0.1044 0.0979  2 Pd 3.44-3.64, 1 Tl 3.84
Cs: 0.8630 0.8956 0.5979  2 Pd 3.44-3.64, 1 Tl 3.84
Cs: 0.8630 0.6044 0.4021  2 Pd 3.44-3.64, 1 Tl 3.84
Cs: 0.1370 0.3956 0.9021  2 Pd 3.44-3.64, 1 Tl 3.84
Cs: 0.8630 0.8956 0.9021  2 Pd 3.44-3.64, 1 Tl 3.84
Cs: 0.1370 0.1044 0.4021  2 Pd 3.44-3.64, 1 Tl 3.84
Cs: 0.1370 0.3956 0.5979  2 Pd 3.44-3.64, 1 Tl 3.84
Cs: 0.8630 0.6044 0.0979  2 Pd 3.44-3.64, 1 Tl 3.84
Tl: 0.5742 0.2500 0.0000  4 Pd 2.89-2.90
Tl: 0.4258 0.7500 0.5000  4 Pd 2.89-2.90
Tl: 0.4258 0.7500 0.0000  4 Pd 2.89-2.90
Tl: 0.5742 0.2500 0.5000  4 Pd 2.89-2.90
Tl: 0.2441 0.4253 0.2500  2 Pd 2.80
Tl: 0.7559 0.5747 0.7500  2 Pd 2.80
Tl: 0.7559 0.9253 0.2500  2 Pd 2.80
Tl: 0.2441 0.0747 0.7500  2 Pd 2.80
Pd: 0.4024 0.4828 0.0831  3 Tl 2.80-2.90, 1 Pd 2.88
Pd: 0.5976 0.5172 0.5831  3 Tl 2.80-2.90, 1 Pd 2.88
Pd: 0.5976 0.9828 0.4169  3 Tl 2.80-2.90, 1 Pd 2.88
Pd: 0.4024 0.0172 0.9169  3 Tl 2.80-2.90, 1 Pd 2.88
Pd: 0.5976 0.5172 0.9169  3 Tl 2.80-2.90, 1 Pd 2.88
Pd: 0.4024 0.4828 0.4169  3 Tl 2.80-2.90, 1 Pd 2.88
Pd: 0.4024 0.0172 0.5831  3 Tl 2.80-2.90, 1 Pd 2.88
Pd: 0.5976 0.9828 0.0831  3 Tl 2.80-2.90, 1 Pd 2.88